Record 1
# PBE Li5Al2Au12, relaxed
# ΔE to the lowest computed polymorph   143.7 meV/atom
# Formation enthalpy at 0 K   -5.35 eV/f.u.
# N(E_F)   3.50 states/eV/f.u.
data_Li5Al2Au12
_chemical_formula_sum 'Li5 Al2 Au12'
_symmetry_space_group_name_H-M 'P 1'
_symmetry_Int_Tables_number 1
_symmetry_space_group_name_Hall 'P 1'
_cell_length_a 5.5714
_cell_length_b 8.4043
_cell_length_c 8.6077
_cell_angle_alpha 111.05
_cell_angle_beta 90.00
_cell_angle_gamma 109.36
loop_
_atom_site_label
_atom_site_type_symbol
_atom_site_fract_x
_atom_site_fract_y
_atom_site_fract_z
Li1 Li 0.2931 0.5863 0.6200
Li2 Li 0.3510 0.7021 0.1604
Li3 Li 0.0000 0.0000 0.5000
Li4 Li 0.6490 0.2979 0.8396
Li5 Li 0.7069 0.4137 0.3800
Al1 Al 0.7454 0.0000 0.0000
Al2 Al 0.2546 0.0000 0.0000
Au1 Au 0.0848 0.1696 0.2642
Au2 Au 0.0540 0.6107 0.8932
Au3 Au 0.5567 0.6107 0.8932
Au4 Au 0.1061 0.7074 0.4203
Au5 Au 0.6013 0.7074 0.4203
Au6 Au 0.4749 0.9498 0.7273
Au7 Au 0.5251 0.0502 0.2727
Au8 Au 0.8939 0.2926 0.5797
Au9 Au 0.3987 0.2926 0.5797
Au10 Au 0.9460 0.3893 0.1068
Au11 Au 0.4433 0.3893 0.1068
Au12 Au 0.9152 0.8304 0.7358

Record 2
# PBE Na3Al, relaxed
# Formation enthalpy at 0 K   0.81 eV/f.u.
# N(E_F)   1.50 states/eV/f.u.
data_Na3Al
_chemical_formula_sum 'Na3 Al1'
_symmetry_space_group_name_H-M 'P 1'
_symmetry_Int_Tables_number 1
_symmetry_space_group_name_Hall 'P 1'
_cell_length_a 3.3861
_cell_length_b 3.0874
_cell_length_c 11.2607
_cell_angle_alpha 90.00
_cell_angle_beta 90.00
_cell_angle_gamma 90.00
loop_
_atom_site_label
_atom_site_type_symbol
_atom_site_fract_x
_atom_site_fract_y
_atom_site_fract_z
Na1 Na 0.0000 0.5000 0.4607
Na2 Na 0.5000 0.5000 0.1731
Na3 Na 0.5000 0.0000 0.7320
Al1 Al 0.0000 0.0000 0.9675

Record 3
# PBE Rb2AgHg, relaxed
# Formation enthalpy at 0 K   0.00 eV/f.u.
# N(E_F)   3.00 states/eV/f.u.
data_Rb2AgHg
_chemical_formula_sum 'Rb2 Ag1 Hg1'
_symmetry_space_group_name_H-M 'P 1'
_symmetry_Int_Tables_number 1
_symmetry_space_group_name_Hall 'P 1'
_cell_length_a 5.5649
_cell_length_b 5.5649
_cell_length_c 8.2352
_cell_angle_alpha 70.25
_cell_angle_beta 70.25
_cell_angle_gamma 60.00
loop_
_atom_site_label
_atom_site_type_symbol
_atom_site_fract_x
_atom_site_fract_y
_atom_site_fract_z
Rb1 Rb 0.0721 0.0721 0.7838
Rb2 Rb 0.2609 0.2609 0.2174
Ag1 Ag 0.6517 0.6517 0.0450
Hg1 Hg 0.5154 0.5154 0.4538